1.
The following is a PBE-GGA calculation of a relaxed AgTe2Ir crystal, from Alexandria via LeMat-Bulk.

## Properties
Its crystal system is monoclinic. Its polymorph energy (0 for the lowest one) is 0.266 eV/atom. The raw formation energy is 0.148 eV per atom.

Cell lengths 5.300, 3.947, 5.334 Å; angles 90.00, 115.29, 90.00 degrees
Space group P2/m (No. 10)
One atom of each set of equivalent atoms:
Ag  0.000  0.000  0.000 [1 per cell]
Te  0.310  0.500  0.690 [2 per cell]
Ir  0.500  0.000  0.500 [1 per cell]

2.
The following is a PBE-GGA calculation of a relaxed AgTe2Ir crystal, from Alexandria via LeMat-Bulk.

## Properties
Its crystal system is monoclinic. Its polymorph energy (0 for the lowest one) is 0.367 eV/atom. The raw formation energy is 0.248 eV per atom.

Cell lengths 3.968, 3.992, 5.672 Å; angles 90.00, 90.59, 90.00 degrees
Space group P2/m (No. 10)
One atom of each set of equivalent atoms:
Ag  0.000  0.000  0.000 [1 per cell]
Te  0.000  0.000  0.500 [1 per cell]
Te  0.500  0.500  0.000 [1 per cell]
Ir  0.500  0.500  0.500 [1 per cell]

3.
The following is a PBE-GGA calculation of a relaxed AgTeIr3 crystal, from Alexandria via LeMat-Bulk.

## Properties
Its crystal system is cubic. Its polymorph energy (0 for the lowest one) is 0.000 eV/atom. The raw formation energy is 1.623 eV per atom.

Cell lengths 4.848, 4.848, 4.848 Å; angles 90.00, 90.00, 90.00 degrees
Space group Pm-3m (No. 221)
One atom of each set of equivalent atoms:
Ag  0.000  0.000  0.000 [1 per cell]
Te  0.500  0.500  0.500 [1 per cell]
Ir  0.000  0.500  0.500 [3 per cell]

4.
The following is a PBE-GGA calculation of a relaxed AgTeIr crystal, from Alexandria via LeMat-Bulk.

## Properties
Its crystal system is cubic. Its polymorph energy (0 for the lowest one) is 0.000 eV/atom. The raw formation energy is 0.242 eV per atom.

Cell lengths 6.345, 6.345, 6.345 Å; angles 90.00, 90.00, 90.00 degrees
Space group F-43m (No. 216)
One atom of each set of equivalent atoms:
Ag  0.000  0.000  0.000 [4 per cell]
Te  0.000  0.000  0.500 [4 per cell]
Ir  0.250  0.250  0.250 [4 per cell]

5.
The following is a PBE-GGA calculation of a relaxed AgTe2Ir crystal, from Alexandria via LeMat-Bulk.

## Properties
Its crystal system is trigonal. Its polymorph energy (0 for the lowest one) is 0.269 eV/atom. The raw formation energy is 0.150 eV per atom.

Cell lengths 3.9982, 3.9982, 21.3730 Å; angles 90.00, 90.00, 120.00 degrees
Space group R3m (No. 160, hexagonal axes)
One atom of each set of equivalent atoms:
Ag  0.0000  0.0000  0.0000 [3 per cell]
Te  0.0000  0.0000  0.5388 [3 per cell]
Te  0.0000  0.0000  0.7356 [3 per cell]
Ir  0.0000  0.0000  0.2599 [3 per cell]

6.
The following is a PBE-GGA calculation of a relaxed AgTeIr crystal, from Alexandria via LeMat-Bulk.

## Properties
Its crystal system is trigonal. Its polymorph energy (0 for the lowest one) is 0.031 eV/atom. The raw formation energy is 0.273 eV per atom.

Cell lengths 3.6732, 3.6732, 5.9522 Å; angles 90.00, 90.00, 120.00 degrees
Space group P3m1 (No. 156)
One atom of each set of equivalent atoms:
Ag  0.0000  0.0000  0.0000 [1 per cell]
Te  0.6667  0.3333  0.5414 [1 per cell]
Ir  0.3333  0.6667  0.3030 [1 per cell]